Entry 1:
# Zr2MnAl, optimized geometry, DFT GGA-PBEsol
data_Zr2MnAl
_chemical_formula_sum 'Zr4 Mn2 Al2'
_cell_length_a 4.170
_cell_length_b 4.170
_cell_length_c 8.278
_cell_angle_alpha 90.00
_cell_angle_beta 90.00
_cell_angle_gamma 90.00
_symmetry_space_group_name_H-M 'I 4/m m m'
_symmetry_Int_Tables_number 139
_symmetry_space_group_name_Hall '-I 4 2'
loop_
_atom_site_label
_atom_site_fract_x
_atom_site_fract_y
_atom_site_fract_z
Zr1 0.000 0.500 0.250
Mn1 0.000 0.000 0.000
Al1 0.000 0.000 0.500
# - magnetic moment (μB/cell) = 6.0
# - final energy (hartree per atom) = -0.2984
# - energy of formation (kJ/mol of formula units) = -42.9


Entry 2:
# AlMo2, optimized geometry, DFT GGA-PBEsol
data_AlMo2
_chemical_formula_sum 'Al4 Mo8'
_cell_length_a 10.595
_cell_length_b 2.622
_cell_length_c 6.781
_cell_angle_alpha 90.00
_cell_angle_beta 104.11
_cell_angle_gamma 90.00
_symmetry_space_group_name_H-M 'C 1 2/m 1'
_symmetry_Int_Tables_number 12
_symmetry_space_group_name_Hall '-C 2y'
loop_
_atom_site_label
_atom_site_fract_x
_atom_site_fract_y
_atom_site_fract_z
Al1 0.134 0.000 0.020
Mo1 0.035 0.500 0.312
Mo2 0.200 0.000 0.659
# - magnetic moment (μB/cell) = 0.0
# - final energy (hartree per atom) = -0.3336
# - energy of formation (kJ/mol of formula units) = 38.1
# - energy above the most stable polymorph in this dataset (kJ per mole of atoms) = 26.5


Entry 3:
# AlMo5, optimized geometry, DFT GGA-PBEsol
data_AlMo5
_chemical_formula_sum 'Al2 Mo10'
_cell_length_a 9.800
_cell_length_b 3.125
_cell_length_c 6.268
_cell_angle_alpha 90.00
_cell_angle_beta 108.85
_cell_angle_gamma 90.00
_symmetry_space_group_name_H-M 'C 1 2/m 1'
_symmetry_Int_Tables_number 12
_symmetry_space_group_name_Hall '-C 2y'
loop_
_atom_site_label
_atom_site_fract_x
_atom_site_fract_y
_atom_site_fract_z
Al1 0.000 0.000 0.000
Mo1 0.000 0.000 0.500
Mo2 0.167 0.500 0.339
Mo3 0.175 0.500 0.833
# - magnetic moment (μB/cell) = 0.0
# - final energy (hartree per atom) = -0.3880
# - energy of formation (kJ/mol of formula units) = -40.6


Entry 4:
# Al3Mo4, optimized geometry, DFT GGA-PBEsol
data_Al3Mo4
_chemical_formula_sum 'Al6 Mo8'
_cell_length_a 3.211
_cell_length_b 3.211
_cell_length_c 20.453
_cell_angle_alpha 90.00
_cell_angle_beta 90.00
_cell_angle_gamma 90.00
_symmetry_space_group_name_H-M 'I 4/m m m'
_symmetry_Int_Tables_number 139
_symmetry_space_group_name_Hall '-I 4 2'
loop_
_atom_site_label
_atom_site_fract_x
_atom_site_fract_y
_atom_site_fract_z
Al1 0.000 0.000 0.000
Al2 0.000 0.000 0.287
Mo1 0.000 0.000 0.140
Mo2 0.000 0.000 0.426
# - magnetic moment (μB/cell) = 0.0
# - final energy (hartree per atom) = -0.3187
# - energy of formation (kJ/mol of formula units) = -130.9